(1)
A relaxed Sc4CoAuC2 crystal, computed with PBE.

```
Sc4CoAuC2
1.0
-1.3557 2.1734 -2.1541
2.4841 -2.0114 -0.9927
-8.8173 -9.0979 -3.6302
Au C Co Sc
1 2 1 4
Cartesian
0.0000 0.0000 0.0000
-1.0643 -2.9571 -2.3138
-5.3447 -7.3738 -4.0761
-4.4844 -3.7705 -3.5821
-1.5846 -0.7784 -2.3882
-3.1530 -3.2534 -1.2981
-5.6643 -5.8446 -2.3321
-7.3842 -6.7626 -4.7760
```

Total magnetization (μB per atom): 0.0367
Total energy (eV per atom): -7.158
Crystal system: hexagonal

---

(2)
A relaxed PrBiN3 crystal, computed with PBE.

```
PrBiN3
1.0
3.4749 6.2314 -3.6906
-4.2266 -0.4192 6.8181
2.8316 -0.5598 1.7209
Bi N Pr
2 6 2
Cartesian
3.9081 5.1029 -1.4893
-1.8281 0.1495 6.3377
3.1533 2.8358 -0.9848
1.4887 1.8857 1.4451
0.8537 1.3374 2.3114
-0.6975 -0.4895 4.2695
1.2262 3.9149 2.5370
0.5913 3.3666 3.4033
0.9649 4.0639 -0.2657
-1.7166 1.7483 3.3932
```

Total magnetization (μB per atom): 0.0002
Total energy (eV per atom): -6.890
Crystal system: orthorhombic

---

(3)
A relaxed Dy5Zn4Cd crystal, computed with PBE.

```
Dy5Zn4Cd
1.0
-3.1206 1.5411 0.7881
0.4878 -0.7759 3.4488
8.4849 15.9588 2.3903
Cd Dy Zn
1 5 4
Cartesian
0.0000 0.0000 0.0000
-0.3579 2.1854 2.3885
1.2792 5.2644 2.8497
2.9261 8.3620 3.3136
4.5730 11.4595 3.7776
6.2100 14.5386 4.2388
1.7651 3.3198 0.4972
3.4171 6.4271 0.9626
5.0678 9.5317 1.4276
6.7198 12.6390 1.8930
```

Total magnetization (μB per atom): 0.0667
Crystal system: tetragonal
DFT formation energy (kJ/mol of formula units): -330.9

---

(4)
A relaxed ErTeNO crystal, computed with PBE.

```
ErTeNO
1.0
-1.8932 -3.2791 0.0000
0.0000 0.0000 6.2995
-5.8132 3.3563 0.0000
Er N O Te
2 2 2 2
Cartesian
-1.9198 -1.0776 6.1563
-5.7865 1.1548 3.0066
-2.0038 1.1569 5.6881
-3.8094 2.1993 2.5384
-1.4711 -1.3367 1.8520
-6.2353 1.4139 5.0017
-1.9163 1.1064 3.6524
-3.8969 2.2499 0.5026
```

Total magnetization (μB per atom): 0.0003
Total energy (eV per atom): -6.320
Crystal system: orthorhombic

---

(5)
A relaxed NaZrAsO4F crystal, computed with PBE.

```
NaZrAsO4F
1.0
-4.0670 -1.2107 3.8642
-0.5735 -3.6405 -4.3996
6.4470 -2.3102 3.4047
As F Na O Zr
2 2 2 8 2
Cartesian
-1.3698 -2.5432 2.1479
3.1764 -4.6183 0.7215
0.6974 -3.9810 -2.7422
1.1091 -3.1805 5.6115
-0.1813 -3.3698 -0.6636
1.9878 -3.7916 3.5329
-1.2435 -1.5205 0.6430
-3.1166 -2.6129 2.6577
-0.4435 -1.9028 3.5789
-0.6558 -4.1504 1.6648
2.4623 -3.0110 1.2046
2.2500 -5.2586 -0.7096
4.9232 -4.5485 0.2117
3.0500 -5.6410 2.2263
0.0000 0.0000 0.0000
3.2235 -1.1551 1.7024
```

Total magnetization (μB per atom): 0.0001
Total energy (eV per atom): -6.693
Crystal system: monoclinic

---

(6)
A relaxed BaOsNO crystal, computed with PBE.

```
BaOsNO
1.0
-1.4654 -3.1979 -1.5363
2.8226 -0.0439 -2.6009
5.3864 -5.3195 5.9353
Ba N O Os
2 2 2 2
Cartesian
1.2259 -1.6860 -0.0574
5.5178 -6.8753 1.8554
3.2051 -4.5913 -0.6929
3.5386 -3.9700 2.4909
-0.3934 -2.4094 -1.8025
1.7506 -0.8324 -2.3348
2.2999 -5.0692 1.1652
4.4438 -3.4922 0.6328
```

Total magnetization (μB per atom): 0.0004
Total energy (eV per atom): -7.028
Crystal system: tetragonal

---

(7)
A relaxed Tb2DyAl2Cd3In crystal, computed with PBE.

```
Tb2DyAl2Cd3In
1.0
-3.5149 -2.8805 -0.4172
0.7824 -1.9713 7.0193
-4.3857 5.6067 -1.7607
Al Cd Dy In Tb
2 3 1 1 2
Cartesian
-2.6989 -0.8838 3.8816
-4.4190 1.6384 0.9593
-1.5577 -1.9435 1.5834
-2.8771 -0.0089 -0.6581
-4.4399 1.2661 3.7061
-1.5724 1.5864 2.2948
-0.0015 0.0015 0.0022
0.4410 -1.1110 3.9561
-2.4718 3.1599 -0.9924
```

Total magnetization (μB per atom): 0.0016
Total energy (eV per atom): -3.379
Crystal system: orthorhombic

---

(8)
A relaxed CdSiW4C2 crystal, computed with PBE.

```
CdSiW4C2
1.0
3.0972 0.0000 0.0000
-1.5486 2.6822 0.0000
0.0000 0.0000 13.3438
C Cd Si W
2 1 1 4
Cartesian
0.0000 1.7881 3.5579
0.0000 1.7881 9.7860
0.0000 0.0000 0.0000
1.5486 0.8941 6.6719
1.5486 0.8941 2.4484
0.0000 0.0000 4.7925
0.0000 0.0000 8.5513
1.5486 0.8941 10.8955
```

Total magnetization (μB per atom): 0.0002
Total energy (eV per atom): -9.431
Crystal system: hexagonal

---

(9)
A relaxed Sc2Al3SiPt2 crystal, computed with PBE.

```
Sc2Al3SiPt2
1.0
4.8860 -2.0949 0.0000
4.8860 2.0949 0.0000
-0.0915 0.0000 6.6249
Al Pt Sc Si
3 2 2 1
Cartesian
6.1120 0.0000 0.3297
6.2084 0.0000 2.9961
3.5055 0.0000 3.6498
2.0033 0.0000 1.5952
7.6963 0.0000 5.0469
8.9997 0.0000 1.5945
0.6873 0.0000 4.9839
3.5094 0.0000 6.3034
```

Total magnetization (μB per atom): 0.0000
Total energy (eV per atom): -6.149
Crystal system: monoclinic

---

(10)
A relaxed ZrSeS crystal, computed with PBE.

```
ZrSeS
1.0
3.6404 0.0000 0.0000
0.0000 11.5462 3.1500
0.0000 -11.5462 3.1500
S Se Zr
2 2 2
Cartesian
0.0000 1.5727 4.6689
0.0000 -1.5727 4.6689
1.8202 1.7031 1.5291
1.8202 -1.7031 1.5291
0.0000 0.0000 0.4398
1.8202 0.0000 3.6577
```

Total magnetization (μB per atom): 0.0005
Total energy (eV per atom): -6.649
Crystal system: orthorhombic

---

(11)
A relaxed ZrClO crystal, computed with PBE.

```
ZrClO
1.0
7.5609 0.0000 0.0000
0.0000 5.1611 0.0000
0.0000 0.0000 6.3765
Cl O Zr
4 4 4
Cartesian
3.7336 3.8708 1.5815
7.5140 3.8708 1.6067
0.0469 1.2903 4.7698
3.8273 1.2903 4.7950
1.8120 1.2903 1.5599
5.5925 1.2903 1.6283
1.9684 3.8708 4.7482
5.7488 3.8708 4.8166
3.7153 1.2903 0.9808
7.4957 1.2903 2.2075
0.0652 3.8708 4.1690
3.8456 3.8708 5.3957
```

Total magnetization (μB per atom): 0.0003
Total energy (eV per atom): -7.228
Crystal system: orthorhombic

---

(12)
A relaxed ThAsPt crystal, computed with PBE.

```
ThAsPt
1.0
-0.8187 -2.3158 3.5892
-1.2165 -1.5160 -3.8907
3.5400 -1.8498 -0.3860
As Pt Th
1 1 1
Cartesian
3.0828 -1.6109 -0.3362
1.7056 -3.2402 -1.7016
0.2566 -2.6804 0.9642
```

Total magnetization (μB per atom): 0.0008
Total energy (eV per atom): -7.283
Crystal system: trigonal